Below is a relaxed BaSbP2 crystal, with properties calculated at the GGA-PBE level.

abc: 7.6244 7.6244 6.8778
angles: 56.34 56.34 90.00
Element x y z (fractional)
Sb: 0.5000 0.5000 0.0000
Sb: 0.2500 0.7500 0.5000
Ba: 0.0000 0.0000 0.0000
Ba: 0.7500 0.2500 0.5000
P: 0.5592 0.1250 0.2500
P: 0.1908 0.6250 0.2500
P: 0.3750 0.4408 0.7500
P: 0.8750 0.8092 0.7500

Calculated values
Crystal system ... tetragonal
Symmetry ... I-42d (122)
Energy relative to the elements, uncorrected ... -276 meV/atom
Density ... 4.29 g/cm³
N(E_F) ... 8.6 states/eV per cell